(1)
Here is a relaxed CeTh2HgC crystal from Alexandria. Energies are from PBE.

- Magnetic moment: 0.092 μB/atom

Geometry as CIF:
```
data_CeTh2HgC
_chemical_formula_sum 'Ce1 Th2 Hg1 C1'
_cell_length_a 5.0685
_cell_length_b 5.0685
_cell_length_c 4.9659
_cell_angle_alpha 90.00
_cell_angle_beta 90.00
_cell_angle_gamma 90.00
_symmetry_space_group_name_H-M 'P 4/m m m'
_symmetry_Int_Tables_number 123
_symmetry_space_group_name_Hall '-P 4 2'
loop_
_atom_site_label
_atom_site_fract_x
_atom_site_fract_y
_atom_site_fract_z
Ce1 0.0000 0.0000 0.0000
Th1 0.0000 0.5000 0.5000
Hg1 0.5000 0.5000 0.0000
C1 0.0000 0.0000 0.5000
```


(2)
Here is a relaxed SrPtW2 crystal from Alexandria. Energies are from PBE.

- E above lowest polymorph: 0.107 eV per atom
- Magnetic moment: 0.000 μB/atom

Geometry as CIF:
```
data_SrPtW2
_chemical_formula_sum 'Sr1 Pt1 W2'
_cell_length_a 2.8620
_cell_length_b 2.8620
_cell_length_c 9.3229
_cell_angle_alpha 90.00
_cell_angle_beta 90.00
_cell_angle_gamma 90.00
_symmetry_space_group_name_H-M 'P 4 m m'
_symmetry_Int_Tables_number 99
_symmetry_space_group_name_Hall 'P 4 -2'
loop_
_atom_site_label
_atom_site_fract_x
_atom_site_fract_y
_atom_site_fract_z
Sr1 0.0000 0.0000 0.0000
Pt1 0.5000 0.5000 0.7271
W1 0.0000 0.0000 0.5331
W2 0.5000 0.5000 0.3030
```


(3)
Here is a relaxed LiBiS2 crystal from Alexandria. Energies are from PBE.

- Magnetic moment: 0.000 μB/atom
- Energy relative to the elements, uncorrected: -132 meV/atom

Geometry as CIF:
```
data_LiBiS2
_chemical_formula_sum 'Li3 Bi3 S6'
_cell_length_a 3.3550
_cell_length_b 3.3550
_cell_length_c 26.4351
_cell_angle_alpha 90.00
_cell_angle_beta 90.00
_cell_angle_gamma 120.00
_symmetry_space_group_name_H-M 'R -3 m'
_symmetry_Int_Tables_number 166
_symmetry_space_group_name_Hall '-R 3 2"'
loop_
_atom_site_label
_atom_site_fract_x
_atom_site_fract_y
_atom_site_fract_z
Li1 0.0000 0.0000 0.0000
Bi1 0.0000 0.0000 0.5000
S1 0.0000 0.0000 0.3961
```


(4)
Here is a relaxed Sr3MgSi2O8 crystal from Alexandria. Energies are from PBE.

- E above lowest polymorph: 0.009 eV per atom
- Magnetic moment: 0.000 μB/atom
- Energy relative to the elements, uncorrected: -2976 meV/atom

Geometry as CIF:
```
data_Sr3MgSi2O8
_chemical_formula_sum 'Sr3 Mg1 Si2 O8'
_cell_length_a 5.5142
_cell_length_b 5.5142
_cell_length_c 6.9939
_cell_angle_alpha 90.00
_cell_angle_beta 90.00
_cell_angle_gamma 120.00
_symmetry_space_group_name_H-M 'P -3 m 1'
_symmetry_Int_Tables_number 164
_symmetry_space_group_name_Hall '-P 3 2"'
loop_
_atom_site_label
_atom_site_fract_x
_atom_site_fract_y
_atom_site_fract_z
Sr1 0.0000 0.0000 0.0000
Sr2 0.3333 0.6667 0.6603
Mg1 0.0000 0.0000 0.5000
Si1 0.3333 0.6667 0.2232
O1 0.1733 0.3466 0.3157
O2 0.3333 0.6667 0.9932
```


(5)
Here is a relaxed Li2TaGa crystal from Alexandria. Energies are from PBE.

- Magnetic moment: 0.000 μB/atom

Geometry as CIF:
```
data_Li2TaGa
_chemical_formula_sum 'Li8 Ta4 Ga4'
_cell_length_a 7.0454
_cell_length_b 7.0454
_cell_length_c 5.2830
_cell_angle_alpha 90.00
_cell_angle_beta 90.00
_cell_angle_gamma 90.00
_symmetry_space_group_name_H-M 'I -4 2 d'
_symmetry_Int_Tables_number 122
_symmetry_space_group_name_Hall 'I -4 2bw'
loop_
_atom_site_label
_atom_site_fract_x
_atom_site_fract_y
_atom_site_fract_z
Li1 0.2203 0.7500 0.1250
Ta1 0.0000 0.0000 0.5000
Ga1 0.0000 0.0000 0.0000
```


(6)
Here is a relaxed Ba4InH crystal from Alexandria. Energies are from PBE.

- E above lowest polymorph: 0.110 eV per atom
- Magnetic moment: 0.004 μB/atom

Geometry as CIF:
```
data_Ba4InH
_chemical_formula_sum 'Ba8 In2 H2'
_cell_length_a 10.6887
_cell_length_b 4.2017
_cell_length_c 13.8962
_cell_angle_alpha 90.00
_cell_angle_beta 122.37
_cell_angle_gamma 90.00
_symmetry_space_group_name_H-M 'P 1 2/c 1'
_symmetry_Int_Tables_number 13
_symmetry_space_group_name_Hall '-P 2yc'
loop_
_atom_site_label
_atom_site_fract_x
_atom_site_fract_y
_atom_site_fract_z
Ba1 0.1237 0.0077 0.1694
Ba2 0.3075 0.4916 0.0039
In1 0.5000 0.0124 0.7500
H1 0.0000 0.5000 0.0000
```


| no. | DFT total energy (eV/atom) |
| --- | --- |
| 1 | -6.30 |
| 2 | -7.97 |
| 3 | -3.64 |
| 4 | -7.06 |
| 5 | -4.12 |
| 6 | -2.44 |